(1)
Below is a relaxed structure of Ca2MgNi, with properties calculated at the GGA-PBE level.

Summary:
The volume comes out at 25.9 A^3/atom. Its density of states at the Fermi level is 0.7150 states/eV per atom. The total moment comes out at 0.00 μB per atom. Its total energy is -2.854 eV/atom. Its symmetry is No. 8. The calculation puts the formation energy at -0.01 eV per atom.

```
Ca2MgNi
1.0
6.211 -1.764 0.000
6.211 1.764 0.000
-2.181 0.000 4.727
Ca Mg Ni
2 1 1
direct
0.000 0.000 0.000 Ca
0.195 0.195 0.695 Ca
0.815 0.815 0.314 Mg
0.486 0.486 0.488 Ni
```

---

(2)
Below is a relaxed structure of Sr3HfSe, with properties calculated at the GGA-PBE level.

Summary:
The volume comes out at 41.2 A^3/atom. The energy above the most stable polymorph in this dataset is 0.000 eV/atom. Its density of states at the Fermi level is 2.4530 states/eV per atom. The raw formation energy comes out at -47 meV per atom. The total moment comes out at 0.87 μB per atom. Its total energy is -3.743 eV/atom. Its symmetry is No. 221.

```
Sr3HfSe
1.0
5.905 0.000 0.000
0.000 5.905 0.000
0.000 0.000 5.905
Sr Hf Se
3 1 1
direct
0.000 0.000 0.500 Sr
0.000 0.500 0.000 Sr
0.500 0.000 0.000 Sr
0.500 0.500 0.500 Hf
0.000 0.000 0.000 Se
```

---

(3)
Below is a relaxed structure of Ga2Cu3Pd3, with properties calculated at the GGA-PBE level.

Summary:
The volume comes out at 13.9 A^3/atom. Its density of states at the Fermi level is 0.3605 states/eV per atom. The total moment comes out at 0.00 μB per atom. Its total energy is -4.611 eV/atom. Its symmetry is No. 47. The calculation puts the formation energy at -0.37 eV per atom.

```
Ga2Cu3Pd3
1.0
3.907 0.000 0.000
0.000 3.943 0.000
0.000 0.000 7.231
Ga Cu Pd
2 3 3
direct
0.000 0.000 0.249 Ga
0.000 0.000 0.751 Ga
0.000 0.500 0.500 Cu
0.500 0.500 0.255 Cu
0.500 0.500 0.745 Cu
0.000 0.500 0.000 Pd
0.500 0.000 0.000 Pd
0.500 0.000 0.500 Pd
```

---

(4)
Below is a relaxed structure of PaCo2MoH6, with properties calculated at the GGA-PBE level.

Summary:
The volume comes out at 8.1 A^3/atom. Its density of states at the Fermi level is 0.7080 states/eV per atom. The total moment comes out at 0.17 μB per atom. Its total energy is -5.676 eV/atom. Its symmetry is No. 166.

```
PaCo2MoH6
1.0
2.209 1.275 4.780
-2.209 1.275 4.780
0.000 -2.551 4.780
Pa Co Mo H
1 2 1 6
direct
0.000 0.000 0.000 Pa
0.199 0.199 0.199 Co
0.801 0.801 0.801 Co
0.500 0.500 0.500 Mo
0.080 0.559 0.559 H
0.441 0.441 0.920 H
0.441 0.920 0.441 H
0.559 0.080 0.559 H
0.559 0.559 0.080 H
0.920 0.441 0.441 H
```

---

(5)
Below is a relaxed structure of TaIn2Mo, with properties calculated at the GGA-PBE level.

Summary:
The volume comes out at 19.6 A^3/atom. The energy above the most stable polymorph in this dataset is 0.000 eV/atom. Its density of states at the Fermi level is 0.5974 states/eV per atom. The total moment comes out at 0.00 μB per atom. Its total energy is -6.849 eV/atom. Its symmetry is No. 99. The calculation puts the formation energy at 0.19 eV per atom.

```
TaIn2Mo
1.0
3.511 0.000 0.000
0.000 3.511 0.000
0.000 0.000 6.346
Ta In Mo
1 2 1
direct
0.000 0.000 0.000 Ta
0.000 0.000 0.543 In
0.500 0.500 0.273 In
0.500 0.500 0.806 Mo
```

---

(6)
Below is a relaxed structure of La3ReAu, with properties calculated at the GGA-PBE level.

Summary:
The volume comes out at 33.2 A^3/atom. The energy above the most stable polymorph in this dataset is 0.000 eV/atom. Its density of states at the Fermi level is 1.0215 states/eV per atom. The total moment comes out at 0.00 μB per atom. Its total energy is -6.025 eV/atom. Its symmetry is No. 221. The calculation puts the formation energy at 0.08 eV per atom.

```
La3ReAu
1.0
5.494 0.000 0.000
0.000 5.494 0.000
0.000 0.000 5.494
La Re Au
3 1 1
direct
0.000 0.000 0.500 La
0.000 0.500 0.000 La
0.500 0.000 0.000 La
0.000 0.000 0.000 Re
0.500 0.500 0.500 Au
```

---

(7)
Below is a relaxed structure of CeMg5Au4, with properties calculated at the GGA-PBE level.

Summary:
The volume comes out at 19.9 A^3/atom. Its density of states at the Fermi level is 0.8125 states/eV per atom. The total moment comes out at 0.12 μB per atom. Its total energy is -3.185 eV/atom. Its symmetry is No. 123. The calculation puts the formation energy at -0.48 eV per atom.

```
CeMg5Au4
1.0
3.349 0.000 0.000
0.000 3.349 0.000
0.000 0.000 17.747
Ce Mg Au
1 5 4
direct
0.000 0.000 0.000 Ce
0.500 0.500 0.140 Mg
0.500 0.500 0.319 Mg
0.500 0.500 0.500 Mg
0.500 0.500 0.681 Mg
0.500 0.500 0.860 Mg
0.000 0.000 0.226 Au
0.000 0.000 0.409 Au
0.000 0.000 0.591 Au
0.000 0.000 0.774 Au
```

---

(8)
Below is a relaxed structure of La2BeCd, with properties calculated at the GGA-PBE level.

Summary:
The volume comes out at 28.7 A^3/atom. The energy above the most stable polymorph in this dataset is 0.242 eV/atom. Its density of states at the Fermi level is 1.1733 states/eV per atom. The total moment comes out at 0.00 μB per atom. Its total energy is -3.452 eV/atom. Its symmetry is No. 166. The calculation puts the formation energy at 0.17 eV per atom.

```
La2BeCd
1.0
1.867 1.078 9.520
-1.867 1.078 9.520
0.000 -2.156 9.520
La Be Cd
2 1 1
direct
0.238 0.238 0.238 La
0.762 0.762 0.762 La
0.500 0.500 0.500 Be
0.000 0.000 0.000 Cd
```

---

(9)
Below is a relaxed structure of TaBiN3, with properties calculated at the GGA-PBE level.

Summary:
The volume comes out at 14.3 A^3/atom. Its density of states at the Fermi level is 0.6601 states/eV per atom. The raw formation energy comes out at 2076 meV per atom. The total moment comes out at 0.00 μB per atom. Its total energy is -6.066 eV/atom. Its symmetry is No. 221.

```
TaBiN3
1.0
4.147 0.000 0.000
0.000 4.147 0.000
0.000 0.000 4.147
Ta Bi N
1 1 3
direct
0.000 0.000 0.000 Ta
0.500 0.500 0.500 Bi
0.000 0.500 0.500 N
0.500 0.000 0.500 N
0.500 0.500 0.000 N
```

---

(10)
Below is a relaxed structure of La7Ag2Sn2, with properties calculated at the GGA-PBE level.

Summary:
The volume comes out at 33.8 A^3/atom. Its density of states at the Fermi level is 1.1975 states/eV per atom. The total moment comes out at 0.00 μB per atom. Its total energy is -4.565 eV/atom. Its symmetry is No. 65. The calculation puts the formation energy at -0.18 eV per atom.

```
La7Ag2Sn2
1.0
4.337 -5.825 0.000
4.337 5.825 0.000
0.000 0.000 7.349
La Ag Sn
7 2 2
direct
0.000 0.000 0.000 La
0.000 0.500 0.290 La
0.000 0.500 0.710 La
0.500 0.000 0.290 La
0.500 0.000 0.710 La
0.500 0.500 0.262 La
0.500 0.500 0.738 La
0.280 0.720 0.000 Ag
0.720 0.280 0.000 Ag
0.168 0.168 0.500 Sn
0.832 0.832 0.500 Sn
```

---

(11)
Below is a relaxed structure of DyEr2Sc3Te6, with properties calculated at the GGA-PBE level.

Summary:
The volume comes out at 27.2 A^3/atom. Its density of states at the Fermi level is 0.6277 states/eV per atom. The raw formation energy comes out at -1167 meV per atom. The total moment comes out at 0.00 μB per atom. Its total energy is -5.464 eV/atom. Its symmetry is No. 12.

```
DyEr2Sc3Te6
1.0
9.263 -2.121 0.000
9.263 2.121 0.000
-1.959 0.000 8.293
Dy Er Sc Te
1 2 3 6
direct
0.000 0.000 0.000 Dy
0.335 0.335 0.668 Er
0.665 0.665 0.332 Er
0.000 0.000 0.500 Sc
0.335 0.335 0.166 Sc
0.665 0.665 0.834 Sc
0.165 0.165 0.590 Te
0.171 0.171 0.078 Te
0.498 0.498 0.259 Te
0.502 0.502 0.741 Te
0.829 0.829 0.922 Te
0.835 0.835 0.410 Te
```

---

(12)
Below is a relaxed structure of In2CoMo, with properties calculated at the GGA-PBE level.

Summary:
The volume comes out at 18.1 A^3/atom. The energy above the most stable polymorph in this dataset is 0.000 eV/atom. Its density of states at the Fermi level is 0.8076 states/eV per atom. The total moment comes out at 0.00 μB per atom. Its total energy is -5.636 eV/atom. Its symmetry is No. 99. The calculation puts the formation energy at 0.22 eV per atom.

```
In2CoMo
1.0
2.995 0.000 0.000
0.000 2.995 0.000
0.000 0.000 8.068
In Co Mo
2 1 1
direct
0.000 0.000 0.000 In
0.500 0.500 0.343 In
0.500 0.500 0.773 Co
0.000 0.000 0.606 Mo
```

---

(13)
Below is a relaxed structure of PmPr2Sm6Mg, with properties calculated at the GGA-PBE level.

Summary:
The volume comes out at 33.5 A^3/atom. Its density of states at the Fermi level is 1.3114 states/eV per atom. The total moment comes out at 0.00 μB per atom. Its total energy is -4.312 eV/atom. Its symmetry is No. 15. The calculation puts the formation energy at 0.11 eV per atom.

```
PmPr2Sm6Mg
1.0
4.674 -7.782 0.000
4.674 7.782 0.000
-0.436 0.000 9.221
Pm Pr Sm Mg
2 4 12 2
direct
0.024 0.976 0.750 Pm
0.976 0.024 0.250 Pm
0.215 0.329 0.552 Pr
0.329 0.215 0.052 Pr
0.671 0.785 0.948 Pr
0.785 0.671 0.448 Pr
0.004 0.425 0.289 Sm
0.145 0.784 0.056 Sm
0.216 0.855 0.444 Sm
0.271 0.502 0.901 Sm
0.425 0.004 0.789 Sm
0.498 0.729 0.599 Sm
0.502 0.271 0.401 Sm
0.575 0.996 0.211 Sm
0.729 0.498 0.099 Sm
0.784 0.145 0.556 Sm
0.855 0.216 0.944 Sm
0.996 0.575 0.711 Sm
0.421 0.579 0.250 Mg
0.579 0.421 0.750 Mg
```

---

(14)
Below is a relaxed structure of KGa4Hg, with properties calculated at the GGA-PBE level.

Summary:
The volume comes out at 23.2 A^3/atom. Its density of states at the Fermi level is 0.3254 states/eV per atom. The total moment comes out at 0.00 μB per atom. Its total energy is -2.248 eV/atom. Its symmetry is No. 216. The calculation puts the formation energy at 0.00 eV per atom.

```
KGa4Hg
1.0
0.000 4.112 4.112
4.112 0.000 4.112
4.112 4.112 0.000
K Ga Hg
1 4 1
direct
0.000 0.000 0.000 K
0.126 0.625 0.625 Ga
0.625 0.126 0.625 Ga
0.625 0.625 0.126 Ga
0.625 0.625 0.625 Ga
0.250 0.250 0.250 Hg
```

---

(15)
Below is a relaxed structure of LaPaBi, with properties calculated at the GGA-PBE level.

Summary:
The volume comes out at 30.3 A^3/atom. Its density of states at the Fermi level is 1.6599 states/eV per atom. The total moment comes out at 0.43 μB per atom. Its total energy is -6.258 eV/atom. Its symmetry is No. 63. The calculation puts the formation energy at -0.16 eV per atom.

```
LaPaBi
1.0
2.367 -7.980 0.000
2.367 7.980 0.000
0.000 0.000 4.821
La Pa Bi
2 2 2
direct
0.250 0.750 0.750 La
0.750 0.250 0.250 La
0.051 0.949 0.250 Pa
0.949 0.051 0.750 Pa
0.403 0.597 0.250 Bi
0.597 0.403 0.750 Bi
```

---

(16)
Below is a relaxed structure of Sr4In3Au, with properties calculated at the GGA-PBE level.

Summary:
The volume comes out at 32.4 A^3/atom. Its density of states at the Fermi level is 0.7975 states/eV per atom. The total moment comes out at 0.00 μB per atom. Its total energy is -2.768 eV/atom. Its symmetry is No. 123. The calculation puts the formation energy at -0.49 eV per atom.

```
Sr4In3Au
1.0
3.998 0.000 0.000
0.000 3.998 0.000
0.000 0.000 16.238
Sr In Au
4 3 1
direct
0.000 0.000 0.115 Sr
0.000 0.000 0.373 Sr
0.000 0.000 0.627 Sr
0.000 0.000 0.885 Sr
0.500 0.500 0.248 In
0.500 0.500 0.500 In
0.500 0.500 0.752 In
0.500 0.500 0.000 Au
```

---

(17)
Below is a relaxed structure of La4PrDy2, with properties calculated at the GGA-PBE level.

Summary:
The volume comes out at 35.5 A^3/atom. The energy above the most stable polymorph in this dataset is 0.000 eV/atom. Its density of states at the Fermi level is 1.7870 states/eV per atom. The total moment comes out at 0.00 μB per atom. Its total energy is -4.745 eV/atom. Its symmetry is No. 9. The calculation puts the formation energy at 0.07 eV per atom.

```
La4PrDy2
1.0
3.284 -12.364 0.000
3.284 12.364 0.000
-3.267 0.000 6.118
La Pr Dy
8 2 4
direct
0.018 0.982 0.500 La
0.142 0.607 0.750 La
0.216 0.611 0.288 La
0.449 0.553 0.464 La
0.553 0.449 0.964 La
0.607 0.142 0.250 La
0.611 0.216 0.788 La
0.982 0.018 0.000 La
0.093 0.844 0.878 Pr
0.844 0.093 0.378 Pr
0.050 0.734 0.330 Dy
0.348 0.533 0.924 Dy
0.533 0.348 0.424 Dy
0.734 0.050 0.830 Dy
```

---

(18)
Below is a relaxed structure of Tc2Ir, with properties calculated at the GGA-PBE level.

Summary:
The volume comes out at 14.5 A^3/atom. The energy above the most stable polymorph in this dataset is 0.069 eV/atom. Its density of states at the Fermi level is 0.8601 states/eV per atom. The total moment comes out at 0.00 μB per atom. Its total energy is -10.008 eV/atom. Its symmetry is No. 63. The calculation puts the formation energy at -0.14 eV per atom.

```
Tc2Ir
1.0
1.384 -7.187 0.000
1.384 7.187 0.000
0.000 0.000 4.367
Tc Ir
4 2
direct
0.055 0.945 0.750 Tc
0.389 0.611 0.750 Tc
0.611 0.389 0.250 Tc
0.945 0.055 0.250 Tc
0.277 0.723 0.250 Ir
0.723 0.277 0.750 Ir
```

---

(19)
Below is a relaxed structure of SrNiBr2, with properties calculated at the GGA-PBE level.

Summary:
The volume comes out at 25.4 A^3/atom. The energy above the most stable polymorph in this dataset is 0.392 eV/atom. Its density of states at the Fermi level is 0.6061 states/eV per atom. The raw formation energy comes out at -604 meV per atom. The total moment comes out at 0.12 μB per atom. Its total energy is -3.306 eV/atom. Its symmetry is No. 119.

```
SrNiBr2
1.0
-2.108 2.108 5.705
2.108 -2.108 5.705
2.108 2.108 -5.705
Sr Ni Br
1 1 2
direct
0.000 0.000 0.000 Sr
0.750 0.250 0.500 Ni
0.250 0.750 0.500 Br
0.500 0.500 0.000 Br
```

---

(20)
Below is a relaxed structure of Cs2GaN, with properties calculated at the GGA-PBE level.

Summary:
The volume comes out at 31.6 A^3/atom. The energy above the most stable polymorph in this dataset is 0.805 eV/atom. Its density of states at the Fermi level is 0.9112 states/eV per atom. The raw formation energy comes out at 1040 meV per atom. The total moment comes out at 0.00 μB per atom. Its total energy is -2.225 eV/atom. Its symmetry is No. 225.

```
Cs2GaN
1.0
0.000 3.985 3.985
3.985 0.000 3.985
3.985 3.985 0.000
Cs Ga N
2 1 1
direct
0.250 0.250 0.250 Cs
0.750 0.750 0.750 Cs
0.000 0.000 0.000 Ga
0.500 0.500 0.500 N
```

---

(21)
Below is a relaxed structure of Pu8FeRh5, with properties calculated at the GGA-PBE level.

Summary:
The volume comes out at 21.2 A^3/atom. Its density of states at the Fermi level is 4.5266 states/eV per atom. The total moment comes out at 0.09 μB per atom. Its total energy is -11.660 eV/atom. Its symmetry is No. 82. The calculation puts the formation energy at -0.24 eV per atom.

```
Pu8FeRh5
1.0
-4.160 4.160 4.292
4.160 -4.160 4.292
4.160 4.160 -4.292
Pu Fe Rh
8 1 5
direct
0.010 0.624 0.742 Pu
0.227 0.496 0.120 Pu
0.376 0.107 0.880 Pu
0.376 0.118 0.386 Pu
0.504 0.624 0.731 Pu
0.732 0.990 0.614 Pu
0.882 0.268 0.258 Pu
0.893 0.773 0.269 Pu
0.250 0.750 0.500 Fe
0.000 0.000 0.000 Rh
0.133 0.255 0.643 Rh
0.510 0.867 0.122 Rh
0.612 0.490 0.357 Rh
0.745 0.388 0.878 Rh
```

---

(22)
Below is a relaxed structure of CsZr2ReSi, with properties calculated at the GGA-PBE level.

Summary:
The volume comes out at 26.7 A^3/atom. Its density of states at the Fermi level is 0.9248 states/eV per atom. The raw formation energy comes out at 641 meV per atom. The total moment comes out at 0.00 μB per atom. Its total energy is -6.523 eV/atom. Its symmetry is No. 123.

```
CsZr2ReSi
1.0
5.248 0.000 0.000
0.000 5.248 0.000
0.000 0.000 4.840
Cs Zr Re Si
1 2 1 1
direct
0.000 0.000 0.000 Cs
0.000 0.500 0.500 Zr
0.500 0.000 0.500 Zr
0.500 0.500 0.500 Re
0.500 0.500 0.000 Si
```